ZrHgRh | PBE | relaxed

Results
E above lowest polymorph, meV/atom: 239
ΔE_f, eV per formula unit: -0.7

a b c (Å): 6.3935 6.3935 6.3935
angles (deg): 90.00 90.00 90.00
With the nearest neighbours (Å) after each atom.
Space group F-43m (No. 216)
Asymmetric unit:
Zr: 0.0000 0.0000 0.0000 (multiplicity 4)  4 Rh 2.77
Hg: 0.0000 0.0000 0.5000 (multiplicity 4)  4 Rh 2.77
Rh: 0.2500 0.2500 0.7500 (multiplicity 4)  4 Hg 2.77, 4 Zr 2.77